Below is DyHf2N3 after structural relaxation, with properties calculated at the PBE-GGA level.

Cell and atoms, written as POSCAR:
```
DyHf2N3
1.0
3.266 0.000 0.000
0.000 4.655 0.000
0.000 0.000 9.893
Dy Hf N
2 4 6
Direct
0.000 0.000 0.000 Dy
0.500 0.500 0.500 Dy
0.000 0.000 0.334 Hf
0.000 0.000 0.666 Hf
0.500 0.500 0.166 Hf
0.500 0.500 0.834 Hf
0.000 0.500 0.000 N
0.000 0.500 0.322 N
0.000 0.500 0.678 N
0.500 0.000 0.178 N
0.500 0.000 0.500 N
0.500 0.000 0.822 N
```

Computed properties:
ΔE_f (raw): -10.48 eV per formula unit
D(E_F): 2.73 states/eV/cell
SG: Immm (71)
density: 12.4 g/cm3

***

Below is Dy3HfN4 after structural relaxation, with properties calculated at the PBE-GGA level.

Cell and atoms, written as POSCAR:
```
Dy3HfN4
1.0
4.806 0.000 0.000
0.000 4.806 0.000
0.000 0.000 4.806
Dy Hf N
3 1 4
Direct
0.000 0.000 0.500 Dy
0.000 0.500 0.000 Dy
0.500 0.000 0.000 Dy
0.500 0.500 0.500 Hf
0.000 0.000 0.000 N
0.000 0.500 0.500 N
0.500 0.000 0.500 N
0.500 0.500 0.000 N
```

Computed properties:
ΔE_f (raw): -13.48 eV per formula unit
D(E_F): 1.65 states/eV/cell
SG: Pm-3m (221)
density: 10.8 g/cm3
excess energy over the best structure of this formula in the dataset: 0.568 eV per formula unit

***

Below is DyHfN after structural relaxation, with properties calculated at the PBE-GGA level.

Cell and atoms, written as POSCAR:
```
DyHfN
1.0
3.338 0.000 0.000
-1.669 2.891 0.000
0.000 0.000 5.608
Dy Hf N
1 1 1
Direct
0.000 0.000 0.000 Dy
0.667 0.333 0.535 Hf
0.333 0.667 0.738 N
```

Computed properties:
ΔE_f (raw): -3.19 eV per formula unit
D(E_F): 2.09 states/eV/cell
SG: P3m1 (156)
density: 10.9 g/cm3

***

Below is DyHfN2 after structural relaxation, with properties calculated at the PBE-GGA level.

Cell and atoms, written as POSCAR:
```
DyHfN2
1.0
3.260 0.000 0.000
-1.630 2.823 0.000
0.000 0.000 17.221
Dy Hf N
3 3 6
Direct
0.000 0.000 0.000 Dy
0.333 0.667 0.667 Dy
0.667 0.333 0.333 Dy
0.000 0.000 0.174 Hf
0.333 0.667 0.841 Hf
0.667 0.333 0.507 Hf
0.000 0.000 0.578 N
0.000 0.000 0.765 N
0.333 0.667 0.244 N
0.333 0.667 0.431 N
0.667 0.333 0.098 N
0.667 0.333 0.911 N
```

Computed properties:
ΔE_f (raw): -6.33 eV per formula unit
D(E_F): 4.93 states/eV/cell
SG: R3m (160)
density: 11.6 g/cm3

***

Below is Dy4HfN5 after structural relaxation, with properties calculated at the PBE-GGA level.

Cell and atoms, written as POSCAR:
```
Dy4HfN5
1.0
-3.810 3.810 2.418
3.810 -3.810 2.418
3.810 3.810 -2.418
Dy Hf N
4 1 5
Direct
0.101 0.701 0.801 Dy
0.299 0.101 0.400 Dy
0.701 0.899 0.600 Dy
0.899 0.299 0.199 Dy
0.488 0.488 0.000 Hf
0.016 0.016 0.000 N
0.216 0.405 0.622 N
0.405 0.783 0.189 N
0.594 0.216 0.811 N
0.783 0.594 0.378 N
```

Computed properties:
ΔE_f (raw): -17.45 eV per formula unit
D(E_F): 1.83 states/eV/cell
SG: I4 (79)
density: 10.6 g/cm3

***

Below is DyHf3N4 after structural relaxation, with properties calculated at the PBE-GGA level.

Cell and atoms, written as POSCAR:
```
DyHf3N4
1.0
3.253 0.000 0.000
-1.627 2.818 0.000
0.000 0.000 21.497
Dy Hf N
2 6 8
Direct
0.333 0.667 0.250 Dy
0.667 0.333 0.750 Dy
0.000 0.000 0.000 Hf
0.000 0.000 0.500 Hf
0.333 0.667 0.621 Hf
0.333 0.667 0.879 Hf
0.667 0.333 0.121 Hf
0.667 0.333 0.379 Hf
0.000 0.000 0.177 N
0.000 0.000 0.323 N
0.000 0.000 0.677 N
0.000 0.000 0.823 N
0.333 0.667 0.060 N
0.333 0.667 0.440 N
0.667 0.333 0.560 N
0.667 0.333 0.940 N
```

Computed properties:
ΔE_f (raw): -14.05 eV per formula unit
D(E_F): 4.47 states/eV/cell
SG: P6_3/mmc (194)
density: 12.7 g/cm3

***

Below is DyHf5N6 after structural relaxation, with properties calculated at the PBE-GGA level.

Cell and atoms, written as POSCAR:
```
DyHf5N6
1.0
2.807 -4.867 0.000
2.807 4.867 0.000
-1.858 0.000 5.310
Dy Hf N
1 5 6
Direct
0.000 0.000 0.000 Dy
0.166 0.834 0.500 Hf
0.333 0.667 0.000 Hf
0.500 0.500 0.500 Hf
0.667 0.333 0.000 Hf
0.834 0.166 0.500 Hf
0.087 0.430 0.259 N
0.259 0.259 0.745 N
0.430 0.087 0.259 N
0.570 0.913 0.741 N
0.741 0.741 0.255 N
0.913 0.570 0.741 N
```

Computed properties:
ΔE_f (raw): -20.98 eV per formula unit
D(E_F): 4.44 states/eV/cell
SG: C2/m (12)
density: 13.0 g/cm3

***

Below is NaDy2Hf3N6 after structural relaxation, with properties calculated at the PBE-GGA level.

Cell and atoms, written as POSCAR:
```
NaDy2Hf3N6
1.0
7.240 -1.643 0.000
7.240 1.643 0.000
-1.756 0.000 6.488
Na Dy Hf N
1 2 3 6
Direct
0.000 0.000 0.000 Na
0.338 0.338 0.676 Dy
0.662 0.662 0.324 Dy
0.000 0.000 0.500 Hf
0.338 0.338 0.166 Hf
0.662 0.662 0.834 Hf
0.162 0.162 0.595 N
0.175 0.175 0.069 N
0.493 0.493 0.277 N
0.507 0.507 0.723 N
0.825 0.825 0.931 N
0.838 0.838 0.405 N
```

Computed properties:
ΔE_f (raw): -19.43 eV per formula unit
D(E_F): 1.49 states/eV/cell
SG: C2/m (12)
density: 10.4 g/cm3

***

Below is DyHfNbN3 after structural relaxation, with properties calculated at the PBE-GGA level.

Cell and atoms, written as POSCAR:
```
DyHfNbN3
1.0
5.619 0.000 0.000
0.000 3.244 0.000
-1.864 0.000 8.188
Dy Hf Nb N
2 2 2 6
Direct
0.146 0.250 0.190 Dy
0.854 0.750 0.810 Dy
0.267 0.750 0.549 Hf
0.733 0.250 0.451 Hf
0.377 0.250 0.868 Nb
0.623 0.750 0.132 Nb
0.056 0.250 0.656 N
0.238 0.750 0.994 N
0.460 0.750 0.348 N
0.540 0.250 0.652 N
0.762 0.250 0.006 N
0.944 0.750 0.344 N
```

Computed properties:
ΔE_f (raw): -9.19 eV per formula unit
D(E_F): 3.72 states/eV/cell
SG: P2_1/m (11)
density: 10.6 g/cm3

***

Below is NdDyHfN3 after structural relaxation, with properties calculated at the PBE-GGA level.

Cell and atoms, written as POSCAR:
```
NdDyHfN3
1.0
6.446 0.000 0.000
0.000 3.302 0.000
-0.635 0.000 9.571
Nd Dy Hf N
2 2 2 6
Direct
0.160 0.250 0.213 Nd
0.840 0.750 0.787 Nd
0.207 0.250 0.574 Dy
0.793 0.750 0.426 Dy
0.349 0.750 0.894 Hf
0.651 0.250 0.106 Hf
0.145 0.250 0.838 N
0.153 0.750 0.418 N
0.402 0.750 0.109 N
0.598 0.250 0.891 N
0.847 0.250 0.582 N
0.855 0.750 0.162 N
```

Computed properties:
ΔE_f (raw): -8.26 eV per formula unit
D(E_F): 3.07 states/eV/cell
SG: P2_1/m (11)
density: 8.6 g/cm3

***

Below is NdDy2HfN4 after structural relaxation, with properties calculated at the PBE-GGA level.

Cell and atoms, written as POSCAR:
```
NdDy2HfN4
1.0
5.940 0.000 0.000
0.000 3.431 0.000
-1.971 0.000 5.661
Nd Dy Hf N
1 2 1 4
Direct
0.000 0.000 0.000 Nd
0.500 0.000 0.500 Dy
0.500 0.500 0.000 Dy
0.000 0.500 0.500 Hf
0.236 0.000 0.728 N
0.246 0.500 0.272 N
0.754 0.500 0.728 N
0.764 0.000 0.272 N
```

Computed properties:
ΔE_f (raw): -12.95 eV per formula unit
D(E_F): 1.20 states/eV/cell
SG: P2/m (10)
density: 10.1 g/cm3

***

Below is DyHf2NiN4 after structural relaxation, with properties calculated at the PBE-GGA level.

Cell and atoms, written as POSCAR:
```
DyHf2NiN4
1.0
1.600 -5.403 0.000
1.600 5.403 0.000
0.000 0.000 11.027
Dy Hf Ni N
2 4 2 8
Direct
0.112 0.888 0.750 Dy
0.888 0.112 0.250 Dy
0.368 0.632 0.556 Hf
0.368 0.632 0.944 Hf
0.632 0.368 0.056 Hf
0.632 0.368 0.444 Hf
0.152 0.848 0.250 Ni
0.848 0.152 0.750 Ni
0.000 0.000 0.000 N
0.000 0.000 0.500 N
0.269 0.731 0.113 N
0.269 0.731 0.387 N
0.451 0.549 0.750 N
0.549 0.451 0.250 N
0.731 0.269 0.613 N
0.731 0.269 0.887 N
```

Computed properties:
ΔE_f (raw): -11.03 eV per formula unit
D(E_F): 4.25 states/eV/cell
SG: Cmcm (63)
density: 11.0 g/cm3

***

Below is DyHfPa2N4 after structural relaxation, with properties calculated at the PBE-GGA level.

Cell and atoms, written as POSCAR:
```
DyHfPa2N4
1.0
5.868 0.000 0.000
0.000 3.381 0.000
-1.943 0.000 5.670
Dy Hf Pa N
1 1 2 4
Direct
0.000 0.000 0.000 Dy
0.500 0.500 0.000 Hf
0.000 0.500 0.500 Pa
0.500 0.000 0.500 Pa
0.263 0.500 0.240 N
0.271 0.000 0.770 N
0.729 0.000 0.230 N
0.737 0.500 0.760 N
```

Computed properties:
ΔE_f (raw): -13.28 eV per formula unit
D(E_F): 4.71 states/eV/cell
SG: P2/m (10)
density: 12.7 g/cm3

***

Below is DyHfPa2N6 after structural relaxation, with properties calculated at the PBE-GGA level.

Cell and atoms, written as POSCAR:
```
DyHfPa2N6
1.0
2.918 1.685 4.967
-2.918 1.685 4.967
0.000 -3.369 4.967
Dy Hf Pa N
1 1 2 6
Direct
0.000 0.000 0.000 Dy
0.490 0.490 0.490 Hf
0.273 0.273 0.273 Pa
0.777 0.777 0.777 Pa
0.096 0.653 0.399 N
0.186 0.585 0.866 N
0.399 0.096 0.653 N
0.585 0.866 0.186 N
0.653 0.399 0.096 N
0.866 0.186 0.585 N
```

Computed properties:
ΔE_f (raw): -14.68 eV per formula unit
D(E_F): 8.65 states/eV/cell
SG: R3 (146)
density: 10.1 g/cm3

***

Below is DyHf2PaN4 after structural relaxation, with properties calculated at the PBE-GGA level.

Cell and atoms, written as POSCAR:
```
DyHf2PaN4
1.0
5.764 0.000 0.000
0.000 3.310 0.000
-1.902 0.000 5.520
Dy Hf Pa N
1 2 1 4
Direct
0.000 0.000 0.000 Dy
0.000 0.500 0.500 Hf
0.500 0.000 0.500 Hf
0.500 0.500 0.000 Pa
0.243 0.000 0.725 N
0.262 0.500 0.273 N
0.738 0.500 0.727 N
0.757 0.000 0.275 N
```

Computed properties:
ΔE_f (raw): -13.84 eV per formula unit
D(E_F): 3.10 states/eV/cell
SG: P2/m (10)
density: 12.7 g/cm3

***

Below is Pr2DyHfN4 after structural relaxation, with properties calculated at the PBE-GGA level.

Cell and atoms, written as POSCAR:
```
Pr2DyHfN4
1.0
6.028 0.000 0.000
0.000 3.470 0.000
-1.986 0.000 5.788
Pr Dy Hf N
2 1 1 4
Direct
0.000 0.000 0.000 Pr
0.500 0.500 0.000 Pr
0.000 0.500 0.500 Dy
0.500 0.000 0.500 Hf
0.257 0.000 0.722 N
0.274 0.500 0.284 N
0.726 0.500 0.716 N
0.743 0.000 0.278 N
```

Computed properties:
ΔE_f (raw): -12.17 eV per formula unit
D(E_F): 1.22 states/eV/cell
SG: P2/m (10)
density: 9.3 g/cm3

***

Below is PrDy2HfN4 after structural relaxation, with properties calculated at the PBE-GGA level.

Cell and atoms, written as POSCAR:
```
PrDy2HfN4
1.0
5.953 0.000 0.000
0.000 3.441 0.000
-1.979 0.000 5.686
Pr Dy Hf N
1 2 1 4
Direct
0.000 0.000 0.000 Pr
0.500 0.000 0.500 Dy
0.500 0.500 0.000 Dy
0.000 0.500 0.500 Hf
0.237 0.000 0.727 N
0.247 0.500 0.274 N
0.753 0.500 0.726 N
0.763 0.000 0.273 N
```

Computed properties:
ΔE_f (raw): -12.69 eV per formula unit
D(E_F): 1.22 states/eV/cell
SG: P2/m (10)
density: 10.0 g/cm3

***

Below is DyPu2HfN4 after structural relaxation, with properties calculated at the PBE-GGA level.

Cell and atoms, written as POSCAR:
```
DyPu2HfN4
1.0
5.894 0.000 0.000
0.000 3.396 0.000
-1.954 0.000 5.582
Dy Pu Hf N
1 2 1 4
Direct
0.000 0.000 0.000 Dy
0.500 0.000 0.500 Pu
0.500 0.500 0.000 Pu
0.000 0.500 0.500 Hf
0.233 0.000 0.729 N
0.243 0.500 0.266 N
0.757 0.500 0.734 N
0.767 0.000 0.271 N
```

Computed properties:
ΔE_f (raw): -12.11 eV per formula unit
D(E_F): 12.85 states/eV/cell
SG: P2/m (10)
density: 13.2 g/cm3

***

Below is Dy2PuHf3N6 after structural relaxation, with properties calculated at the PBE-GGA level.

Cell and atoms, written as POSCAR:
```
Dy2PuHf3N6
1.0
7.296 -1.655 0.000
7.296 1.655 0.000
-1.665 0.000 6.495
Dy Pu Hf N
2 1 3 6
Direct
0.167 0.167 0.333 Dy
0.833 0.833 0.667 Dy
0.500 0.500 0.000 Pu
0.167 0.167 0.833 Hf
0.500 0.500 0.500 Hf
0.833 0.833 0.167 Hf
0.006 0.006 0.735 N
0.327 0.327 0.930 N
0.338 0.338 0.402 N
0.662 0.662 0.598 N
0.673 0.673 0.070 N
0.994 0.994 0.265 N
```

Computed properties:
ΔE_f (raw): -20.63 eV per formula unit
D(E_F): 8.37 states/eV/cell
SG: C2/m (12)
density: 12.6 g/cm3

***

Below is Dy2HfS2N2 after structural relaxation, with properties calculated at the PBE-GGA level.

Cell and atoms, written as POSCAR:
```
Dy2HfS2N2
1.0
4.162 0.000 0.000
0.000 4.162 0.000
0.000 0.000 14.039
Dy Hf S N
4 2 4 4
Direct
0.000 0.000 0.117 Dy
0.000 0.000 0.883 Dy
0.500 0.500 0.383 Dy
0.500 0.500 0.617 Dy
0.000 0.000 0.500 Hf
0.500 0.500 0.000 Hf
0.000 0.000 0.317 S
0.000 0.000 0.683 S
0.500 0.500 0.183 S
0.500 0.500 0.817 S
0.000 0.500 0.000 N
0.000 0.500 0.500 N
0.500 0.000 0.000 N
0.500 0.000 0.500 N
```

Computed properties:
ΔE_f (raw): -12.23 eV per formula unit
SG: I4/mmm (139)
density: 8.1 g/cm3